Entry 1:
ZnSbMo2 (GGA-PBE, optimized geometry); distance to the lowest polymorph of the same formula = 285 meV per atom; ΔE_f (raw) = 1.6 eV/f.u.; total magnetization = 0.00 μB per formula unit; calculated volume = 68.5 Å³/cell; DOS at the Fermi energy = 3.0 states/eV/cell; space group = C2/m (12)
1.0
-2.7703 3.9789 -1.9447
-2.8771 -3.7229 2.2694
-0.8073 1.3634 2.4713
Sb Mo Zn
1 2 1
Direct
0.5000 0.0000 0.5000
0.5000 0.5000 0.0000
0.0000 0.0000 0.0000
0.0000 0.5000 0.5000

***

Entry 2:
SrAcLa14 (GGA-PBE, optimized geometry); formation enthalpy at 0 K = 5 kJ per mole of atoms; total magnetization = 0.00 μB per formula unit; calculated volume = 614.9 Å³/cell; DOS at the Fermi energy = 28.1 states/eV/cell; space group = Amm2 (38)
1.0
7.6389 -0.1140 0.0000
-3.7295 6.6676 0.0000
0.0000 0.0000 12.1737
La Sr Ac
14 1 1
Direct
0.8393 0.1607 0.2530
0.8356 0.6760 0.7431
0.6629 0.8323 0.0000
0.3351 0.6649 0.7513
0.1701 0.8299 0.5000
0.3240 0.1644 0.7431
0.3240 0.1644 0.2569
0.3351 0.6649 0.2487
0.1666 0.3375 0.5000
0.8356 0.6760 0.2569
0.6694 0.3306 0.5000
0.6625 0.8334 0.5000
0.1677 0.3371 0.0000
0.8393 0.1607 0.7470
0.6655 0.3345 0.0000
0.1671 0.8329 0.0000

***

Entry 3:
PmHo3Sc (GGA-PBE, optimized geometry); distance to the lowest polymorph of the same formula = 14 meV per atom; formation enthalpy at 0 K = 4 kJ per mole of atoms; total magnetization = 0.00 μB per formula unit; calculated volume = 151.0 Å³/cell; DOS at the Fermi energy = 6.9 states/eV/cell; space group = R3m (160)
1.0
-2.2301 -2.5740 -0.8454
0.0354 -1.3602 -3.2344
8.7997 -10.9322 2.7902
Ho Pm Sc
3 1 1
Direct
0.4321 0.4321 0.7038
0.2376 0.2376 0.2871
0.0310 0.0310 0.9071
0.8344 0.8344 0.4967
0.6342 0.6342 0.0973

***

Entry 4:
Mg2VTeCl (GGA-PBE, optimized geometry); ΔE_f (raw) = 1.7 eV/f.u.; total magnetization = 4.02 μB per formula unit; calculated volume = 169.8 Å³/cell; DOS at the Fermi energy = 2.1 states/eV/cell; space group = P4/mmm (123)
1.0
-4.4616 -2.8460 -2.2684
3.0495 -3.9967 -0.9835
-1.2234 -2.2070 5.1753
Mg V Te Cl
2 1 1 1
Direct
0.0000 0.0000 0.5000
0.5000 0.0000 0.0000
0.0000 0.5000 0.0000
0.0000 0.0000 0.0000
0.5000 0.5000 0.5000

***

Entry 5:
Y2Ho6Cd (GGA-PBE, optimized geometry); formation enthalpy at 0 K = -1 kJ per mole of atoms; total magnetization = 0.00 μB per formula unit; calculated volume = 542.0 Å³/cell; DOS at the Fermi energy = 27.4 states/eV/cell; space group = P4_2/mnm (136)
1.0
0.0053 -4.4288 -2.1808
10.3100 0.8340 -1.6688
1.8659 -4.5538 9.2519
Y Ho Cd
4 12 2
Direct
0.0000 0.6609 0.1609
0.5000 0.1610 0.3391
0.5000 0.8390 0.6609
0.0000 0.3391 0.8391
0.5000 0.8326 0.3326
0.5000 0.1658 0.0020
0.0000 0.9981 0.1657
0.5000 0.5019 0.6657
0.0000 0.3342 0.5019
0.0000 0.6658 0.4981
0.5000 0.8342 0.9980
0.0000 0.6674 0.8325
0.5000 0.1674 0.6674
0.0000 0.0019 0.8343
0.0000 0.3326 0.1675
0.5000 0.4981 0.3343
0.0000 0.0000 0.5000
0.5000 0.5000 0.0000

***

Entry 6:
SrPmAgPd (GGA-PBE, optimized geometry); formation enthalpy at 0 K = -40 kJ per mole of atoms; total magnetization = 0.00 μB per formula unit; calculated volume = 103.5 Å³/cell; DOS at the Fermi energy = 3.7 states/eV/cell; space group = F-43m (216)
1.0
5.2706 0.0000 0.0000
2.6353 4.5644 0.0000
2.6353 1.5215 4.3034
Sr Ag Pm Pd
1 1 1 1
Direct
0.0000 0.0000 0.0000
0.2500 0.2500 0.2500
0.5000 0.5000 0.5000
0.7500 0.7500 0.7500